The following is a GGA-PBE calculation of an optimized crystal structure of RbBa2P, from Alexandria.

extended XYZ file:
```
4
Lattice="-3.072 2.616 2.354 -2.343 -1.825 3.605 7.529 4.046 9.967" Properties=species:S:1:pos:R:3 pbc="T T T"
P 1.057 2.418 7.963
Rb 0.000 0.000 0.000
Ba -1.991 2.178 8.887
Ba 4.105 2.658 7.039
```

Results
Energy of formation from the pure elements in meV/atom: -584